(1)
Computed, not measured: a crystal of LiAg2F6 relaxed with PBEsol at the SCAN level of DFT.

```
LiAg2F6
1.0
6.2218 0.0000 0.0000
0.0000 4.7937 0.0000
-3.1127 0.0000 16.0342
Li Ag F
4 8 24
Direct
0.1042 0.0399 0.4263
0.1042 0.4601 0.9263
0.8958 0.5399 0.0737
0.8958 0.9601 0.5737
0.2375 0.0065 0.7521
0.2375 0.4935 0.2521
0.3429 0.5130 0.5767
0.3429 0.9870 0.0767
0.6571 0.0130 0.9233
0.6571 0.4870 0.4233
0.7625 0.5065 0.7479
0.7625 0.9935 0.2479
0.1011 0.2153 0.3160
0.1011 0.2847 0.8161
0.1105 0.7288 0.0179
0.1105 0.7712 0.5179
0.1190 0.2138 0.6475
0.1190 0.2862 0.1475
0.3466 0.2271 0.9773
0.3466 0.2729 0.4773
0.3776 0.7396 0.6832
0.3776 0.7604 0.1832
0.3933 0.6942 0.3552
0.3933 0.8058 0.8552
0.6067 0.1942 0.1448
0.6067 0.3058 0.6448
0.6224 0.2396 0.8168
0.6224 0.2604 0.3168
0.6534 0.7271 0.5227
0.6534 0.7729 0.0227
0.8810 0.7138 0.8525
0.8810 0.7862 0.3525
0.8895 0.2288 0.4821
0.8895 0.2712 0.9821
0.8989 0.7153 0.1840
0.8989 0.7847 0.6839
```

Calculated values
* E above lowest polymorph: 0.13 eV per formula unit
* VASP energy: -11.20 eV per atom
* total moment: 4.10 μB per cell

---

(2)
Computed, not measured: a crystal of Li2Ag3F6 relaxed with PBEsol at the SCAN level of DFT.

```
Li2Ag3F6
1.0
2.7091 -2.6443 0.0000
2.7091 2.6443 0.0000
-1.9346 0.0000 9.1861
Li Ag F
2 3 6
Direct
0.1514 0.1514 0.2034
0.8486 0.8486 0.7966
0.2565 0.2565 0.6434
0.5000 0.5000 0.0000
0.7435 0.7435 0.3566
0.1334 0.6360 0.1579
0.2200 0.2200 0.4018
0.3640 0.8666 0.8421
0.6360 0.1334 0.1579
0.7800 0.7800 0.5982
0.8666 0.3640 0.8421
```

Calculated values
* VASP energy: -12.76 eV per atom
* total moment: 1.10 μB per cell

---

(3)
Computed, not measured: a crystal of LiAgF3 relaxed with PBEsol at the SCAN level of DFT.

```
LiAgF3
1.0
5.4031 0.0000 0.0000
0.0000 5.5618 0.0000
-4.8672 0.0000 8.0740
Li Ag F
4 4 12
Direct
0.2356 0.0275 0.2159
0.2356 0.4725 0.7159
0.7644 0.5275 0.2841
0.7644 0.9725 0.7841
0.0000 0.0000 0.5000
0.0000 0.5000 0.0000
0.5000 0.0000 0.0000
0.5000 0.5000 0.5000
0.1342 0.1664 0.9744
0.1342 0.3336 0.4744
0.1530 0.6479 0.8614
0.1530 0.8521 0.3614
0.4858 0.1822 0.8002
0.4858 0.3177 0.3002
0.5142 0.6822 0.6998
0.5142 0.8178 0.1998
0.8470 0.1479 0.6386
0.8470 0.3521 0.1386
0.8658 0.6664 0.5256
0.8658 0.8336 0.0256
```

Calculated values
* E above lowest polymorph: 0.00 eV per formula unit
* VASP energy: -10.86 eV per atom
* total moment: 0.00 μB per cell

---

(4)
Computed, not measured: a crystal of LiAgF3 relaxed with PBEsol at the SCAN level of DFT.

```
LiAgF3
1.0
5.2521 0.0000 0.0000
2.5512 4.6725 0.0000
0.4162 2.5307 4.9679
Li Ag F
2 2 6
Direct
0.1308 0.2085 0.4459
0.8692 0.7915 0.5541
0.3363 0.8053 0.0401
0.6637 0.1947 0.9599
0.0975 0.6278 0.2971
0.1979 0.7474 0.7362
0.4494 0.9929 0.2596
0.5506 0.0071 0.7404
0.8021 0.2526 0.2638
0.9025 0.3722 0.7029
```

Calculated values
* E above lowest polymorph: 0.12 eV per formula unit
* VASP energy: -10.83 eV per atom
* total moment: 1.99 μB per cell

---

(5)
Computed, not measured: a crystal of LiAgF3 relaxed with PBEsol at the SCAN level of DFT.

```
LiAgF3
1.0
5.2743 0.0000 0.0000
-2.6371 4.5677 0.0000
0.0000 0.0000 14.8279
Li Ag F
6 6 18
Direct
0.0326 0.0653 0.2500
0.0326 0.9674 0.9167
0.0653 0.0326 0.0833
0.9347 0.9674 0.5833
0.9674 0.0326 0.4167
0.9674 0.9347 0.7500
0.3089 0.6178 0.7500
0.3089 0.6911 0.4167
0.3822 0.6911 0.0833
0.6178 0.3089 0.5833
0.6911 0.3089 0.9167
0.6911 0.3822 0.2500
0.0000 0.2665 0.8333
0.0000 0.7335 0.3333
0.0524 0.3420 0.1578
0.0524 0.7105 0.0089
0.2665 0.0000 0.5000
0.2665 0.2665 0.6667
0.2895 0.3420 0.3422
0.2895 0.9476 0.8244
0.3420 0.0524 0.1756
0.3420 0.2895 0.9911
0.6580 0.7105 0.4911
0.6580 0.9476 0.6756
0.7105 0.0524 0.3244
0.7105 0.6580 0.8422
0.7335 0.0000 0.0000
0.7335 0.7335 0.1667
0.9476 0.2895 0.5089
0.9476 0.6580 0.6578
```

Calculated values
* E above lowest polymorph: 0.02 eV per formula unit
* VASP energy: -10.85 eV per atom
* total moment: 6.15 μB per cell

---

(6)
Computed, not measured: a crystal of LiAgF3 relaxed with PBEsol at the SCAN level of DFT.

```
LiAgF3
1.0
3.8285 -5.1214 0.0000
3.8285 5.1214 0.0000
0.0000 0.0000 3.0942
Li Ag F
2 2 6
Direct
0.0000 0.5000 0.0000
0.5000 0.0000 0.0000
0.0000 0.0000 0.5000
0.5000 0.5000 0.5000
0.1467 0.8533 0.0000
0.1737 0.4467 0.5000
0.4467 0.1737 0.5000
0.5533 0.8263 0.5000
0.8263 0.5533 0.5000
0.8533 0.1467 0.0000
```

Calculated values
* E above lowest polymorph: 0.05 eV per formula unit
* VASP energy: -10.85 eV per atom
* total moment: 1.77 μB per cell

---

(7)
Computed, not measured: a crystal of LiAg2F6 relaxed with PBEsol at the SCAN level of DFT.

```
LiAg2F6
1.0
4.8033 0.0000 0.0000
0.0000 4.8033 0.0000
0.0000 0.0000 10.0505
Li Ag F
2 4 12
Direct
0.0000 0.0000 0.0000
0.5000 0.5000 0.5000
0.0000 0.0000 0.3351
0.0000 0.0000 0.6649
0.5000 0.5000 0.1649
0.5000 0.5000 0.8351
0.1983 0.1983 0.1710
0.1983 0.1983 0.8290
0.2029 0.2029 0.5000
0.2971 0.7029 0.0000
0.3017 0.6983 0.3290
0.3017 0.6983 0.6710
0.6983 0.3017 0.3290
0.6983 0.3017 0.6710
0.7029 0.2971 0.0000
0.7971 0.7971 0.5000
0.8017 0.8017 0.1710
0.8017 0.8017 0.8290
```

Calculated values
* E above lowest polymorph: 0.28 eV per formula unit
* VASP energy: -11.19 eV per atom
* total moment: 6.07 μB per cell

---

(8)
Computed, not measured: a crystal of LiAg2F6 relaxed with PBEsol at the SCAN level of DFT.

```
LiAg2F6
1.0
9.0533 0.0000 0.0000
-4.5266 7.8404 0.0000
0.0000 0.0000 4.7235
Li Ag F
3 6 18
Direct
0.0000 0.0000 0.0000
0.3333 0.6667 0.5124
0.6667 0.3333 0.4876
0.0000 0.3028 0.5000
0.0000 0.6374 0.0000
0.3028 0.0000 0.5000
0.3626 0.3626 0.0000
0.6374 0.0000 0.0000
0.6972 0.6972 0.5000
0.0990 0.8822 0.2376
0.1120 0.5202 0.2676
0.1178 0.2168 0.2376
0.1993 0.7456 0.7407
0.2168 0.1178 0.7624
0.2544 0.4538 0.7407
0.4082 0.8880 0.2676
0.4538 0.2544 0.2593
0.4798 0.5918 0.2676
0.5202 0.1120 0.7324
0.5462 0.8007 0.7407
0.5918 0.4798 0.7324
0.7456 0.1993 0.2593
0.7832 0.9010 0.2376
0.8007 0.5462 0.2593
0.8822 0.0990 0.7624
0.8880 0.4082 0.7324
0.9010 0.7832 0.7624
```

Calculated values
* E above lowest polymorph: 0.00 eV per formula unit
* VASP energy: -11.22 eV per atom
* total moment: 1.40 μB per cell

---

(9)
Computed, not measured: a crystal of LiAgF3 relaxed with PBEsol at the SCAN level of DFT.

```
LiAgF3
1.0
2.6663 1.5394 4.9754
-2.6663 1.5394 4.9754
0.0000 -3.0788 4.9754
Li Ag F
2 2 6
Direct
0.0000 0.0000 0.0000
0.5000 0.5000 0.5000
0.2095 0.2095 0.2095
0.7095 0.7095 0.7095
0.1307 0.7941 0.4264
0.2941 0.6307 0.9264
0.4264 0.1307 0.7941
0.6307 0.9264 0.2941
0.7941 0.4264 0.1307
0.9264 0.2941 0.6307
```

Calculated values
* E above lowest polymorph: 0.24 eV per formula unit
* VASP energy: -10.81 eV per atom
* total moment: 0.00 μB per cell